(1)
Entry from Alexandria via LeMat-Bulk: a relaxed structure of Na2MgPS4 (GGA-PBE).

abc: 5.9729 8.0133 8.0899
angles: 90.00 90.00 90.00
Positions (direct):
S1 0.4296 0.6967 0.7482
Na1 0.9559 0.6537 0.2352
P1 0.5019 0.8309 0.5000
S2 0.9296 0.3033 0.7518
Na2 0.9559 0.6537 0.7648
S3 0.8516 0.8440 0.5000
S4 0.9296 0.3033 0.2482
P2 0.0019 0.1691 0.0000
S5 0.4296 0.6967 0.2518
Na3 0.4559 0.3463 0.7352
S6 0.3516 0.1560 0.0000
Mg1 0.9793 0.1322 0.5000
S7 0.3960 0.0810 0.5000
Mg2 0.4793 0.8678 0.0000
Na4 0.4559 0.3463 0.2648
S8 0.8960 0.9190 0.0000

Calculated values
Total magnetic moment in μB per formula unit: 0.0
Fermi-level density of states in states/eV/f.u.: 2.66
SG: No. 31
Energy relative to the elements, uncorrected in meV/atom: -771
Calculated volume in Å³/cell: 387.2

(2)
Entry from Alexandria via LeMat-Bulk: a relaxed structure of NaMgPS2 (GGA-PBE).

abc: 4.9110 4.9110 4.7665
angles: 90.00 90.00 90.00
Positions (direct):
Na1 0.0000 0.0000 0.0000
P1 0.0000 0.0000 0.5000
Mg1 0.5000 0.5000 0.5000
S1 0.0000 0.5000 0.0000
S2 0.5000 0.0000 0.0000

Calculated values
Total magnetic moment in μB per formula unit: 0.0
Fermi-level density of states in states/eV/f.u.: 4.36
Energy relative to the lowest polymorph listed for this composition in meV per atom: 660
SG: No. 123
Energy relative to the elements, uncorrected in meV/atom: 712
Calculated volume in Å³/cell: 115.0

(3)
Entry from Alexandria via LeMat-Bulk: a relaxed structure of NaMgPS2 (GGA-PBE).

abc: 4.9267 4.9267 4.8176
angles: 90.00 90.00 90.00
Positions (direct):
Mg1 0.0000 0.0000 0.0000
S1 0.5000 0.0000 0.0000
S2 0.0000 0.5000 0.0000
Na1 0.5000 0.5000 0.5000
P1 0.0000 0.0000 0.5000

Calculated values
Total magnetic moment in μB per formula unit: 0.0
Fermi-level density of states in states/eV/f.u.: 4.76
Energy relative to the lowest polymorph listed for this composition in meV per atom: 0
SG: No. 123
Energy relative to the elements, uncorrected in meV/atom: 52
Calculated volume in Å³/cell: 116.9

(4)
Entry from Alexandria via LeMat-Bulk: a relaxed structure of NaMgP2S6 (GGA-PBE).

abc: 7.4298 8.6453 8.6453
angles: 82.07 69.60 69.60
Positions (direct):
S1 0.6092 0.1092 0.5979
P1 0.8305 0.6347 0.7884
S2 0.6662 0.8157 0.9601
S3 0.1092 0.5979 0.1092
S4 0.3908 0.8908 0.4021
S5 0.1662 0.9601 0.8157
Na1 0.2500 0.8594 0.1406
S6 0.4273 0.3876 0.3210
P2 0.6695 0.2116 0.3653
S7 0.8908 0.4021 0.8908
S8 0.0727 0.6790 0.6124
P3 0.3305 0.7884 0.6347
Mg1 0.2500 0.2270 0.7730
Na2 0.7500 0.1406 0.8594
P4 0.1695 0.3653 0.2116
S9 0.8338 0.0399 0.1843
S10 0.5727 0.6124 0.6790
Mg2 0.7500 0.7730 0.2270
S11 0.3338 0.1843 0.0399
S12 0.9273 0.3210 0.3876

Calculated values
Total magnetic moment in μB per formula unit: 0.0
Fermi-level density of states in states/eV/f.u.: 2.86
SG: No. 15
Energy relative to the elements, uncorrected in meV/atom: -486
Calculated volume in Å³/cell: 487.8

(5)
Entry from Alexandria via LeMat-Bulk: a relaxed structure of NaMgPSe4 (GGA-PBE).

abc: 7.3223 7.8803 7.8803
angles: 64.42 62.32 62.32
Positions (direct):
Se1 0.2363 0.7464 0.2464
Se2 0.2673 0.2628 0.2026
P1 0.6257 0.6243 0.1243
Se3 0.7710 0.7464 0.2464
Mg1 0.0000 0.5000 0.5000
Se4 0.2290 0.2536 0.7536
Se5 0.7327 0.7372 0.7974
Se6 0.7637 0.2536 0.7536
Se7 0.2673 0.7026 0.7628
Se8 0.7327 0.2974 0.2372
P2 0.3743 0.3757 0.8757
Mg2 0.0000 0.0000 0.0000
Na1 0.5000 0.0000 0.5000
Na2 0.0000 0.0000 0.5000

Calculated values
Total magnetic moment in μB per formula unit: 0.0
Fermi-level density of states in states/eV/f.u.: 1.55
SG: No. 74
Energy relative to the elements, uncorrected in meV/atom: -445
Calculated volume in Å³/cell: 342.8

(6)
Entry from Alexandria via LeMat-Bulk: a relaxed structure of Na2MgPSe4 (GGA-PBE).

abc: 7.0892 6.8516 5.9508
angles: 114.38 116.00 105.86
Last column: magnetic moment on the atom in μB.
Positions (direct):
Se1 0.4305 0.8594 0.3073  0.18
Na1 0.4179 0.9181 0.8360  0.00
Se2 0.8767 0.4477 0.3073  0.18
Na2 0.1838 0.1838 0.3672  0.01
Se3 0.0965 0.1313 0.7951  0.04
Se4 0.6987 0.6639 0.7955  0.04
P1 0.7336 0.7336 0.4673  0.13
Mg1 0.9493 0.4492 0.8983  0.00

Calculated values
Total magnetic moment in μB per formula unit: 1.0
Fermi-level density of states in states/eV/f.u.: 1.38
SG: No. 5
Energy relative to the elements, uncorrected in meV/atom: -710
Calculated volume in Å³/cell: 196.9

(7)
Entry from Alexandria via LeMat-Bulk: a relaxed structure of NaMgSnP2 (GGA-PBE).

abc: 4.7617 7.1999 8.4631
angles: 96.80 90.00 109.31
Positions (direct):
Sn1 0.0581 0.1163 0.2155
Mg1 0.6796 0.3592 0.0659
P1 0.8700 0.7399 0.0681
Sn2 0.9419 0.8837 0.7845
P2 0.3954 0.7907 0.6755
Na1 0.6192 0.2384 0.6608
P3 0.1300 0.2601 0.9319
Na2 0.3808 0.7616 0.3392
P4 0.6046 0.2093 0.3245
Mg2 0.3204 0.6408 0.9341

Calculated values
Total magnetic moment in μB per formula unit: 0.0
Formation enthalpy at 0 K in eV per atom: -0.258
Fermi-level density of states in states/eV/f.u.: 0.86
SG: No. 12
Calculated volume in Å³/cell: 271.7

(8)
Entry from Alexandria via LeMat-Bulk: a relaxed structure of Na2MgPaS4 (GGA-PBE).

abc: 3.9191 6.7136 7.0721
angles: 108.57 90.00 90.00
Last column: magnetic moment on the atom in μB.
Positions (direct):
S1 0.0000 0.7471 0.2304  -0.02
S2 0.5000 0.7652 0.7836  -0.01
S3 0.5000 0.2348 0.2164  -0.01
Mg1 0.0000 0.0000 0.0000  0.00
Na1 0.0000 0.5000 0.5000  0.00
S4 0.0000 0.2529 0.7696  -0.02
Pa1 0.5000 0.5000 0.0000  0.92
Na2 0.5000 0.0000 0.5000  0.00

Calculated values
Total magnetic moment in μB per formula unit: 1.0
Fermi-level density of states in states/eV/f.u.: 4.57
SG: No. 10
Energy relative to the elements, uncorrected in meV/atom: -1443
Calculated volume in Å³/cell: 176.4

(9)
Entry from Alexandria via LeMat-Bulk: a relaxed structure of Na2MgPaTe4 (GGA-PBE).

abc: 4.3839 7.5765 7.9781
angles: 108.72 90.00 90.00
Last column: magnetic moment on the atom in μB.
Positions (direct):
Na1 0.0000 0.5000 0.5000  0.00
Na2 0.5000 0.0000 0.5000  0.00
Mg1 0.0000 0.0000 0.0000  0.00
Te1 0.5000 0.7659 0.7794  -0.02
Te2 0.5000 0.2341 0.2206  -0.02
Te3 0.0000 0.2536 0.7643  -0.03
Te4 0.0000 0.7464 0.2357  -0.03
Pa1 0.5000 0.5000 0.0000  1.02

Calculated values
Total magnetic moment in μB per formula unit: 1.0
Fermi-level density of states in states/eV/f.u.: 5.89
SG: No. 10
Energy relative to the elements, uncorrected in meV/atom: -897
Calculated volume in Å³/cell: 251.0

(10)
Entry from Alexandria via LeMat-Bulk: a relaxed structure of Na3MgPa2Te6 (GGA-PBE).

abc: 7.5654 7.5654 8.0605
angles: 99.01 99.01 120.03
Last column: magnetic moment on the atom in μB.
Positions (direct):
Te1 0.7524 0.7524 0.2326  -0.03
Mg1 0.0000 0.0000 0.0000  0.00
Te2 0.2476 0.2476 0.7674  -0.03
Na1 0.5000 0.5000 0.5000  0.00
Te3 0.9224 0.5967 0.7671  -0.03
Te4 0.4033 0.0776 0.2329  -0.03
Na2 0.1687 0.8313 0.5000  0.00
Te5 0.5967 0.9224 0.7671  -0.03
Na3 0.8313 0.1687 0.5000  0.00
Te6 0.0776 0.4033 0.2329  -0.03
Pa1 0.6665 0.3335 0.0000  1.33
Pa2 0.3335 0.6665 0.0000  1.33

Calculated values
Total magnetic moment in μB per formula unit: 3.0
Fermi-level density of states in states/eV/f.u.: 11.32
SG: No. 12
Energy relative to the elements, uncorrected in meV/atom: -878
Calculated volume in Å³/cell: 379.3

(11)
Entry from Alexandria via LeMat-Bulk: a relaxed structure of Na2MgPb4 (GGA-PBE).

abc: 5.7032 6.1683 7.9616
angles: 112.79 90.00 90.00
Positions (direct):
Na1 0.5000 0.8435 0.6869
Mg1 0.0000 0.5000 0.0000
Pb1 0.0000 0.7095 0.4189
Pb2 0.0000 0.2905 0.5811
Pb3 0.5000 0.3963 0.7926
Pb4 0.5000 0.6037 0.2074
Na2 0.5000 0.1565 0.3131

Calculated values
Total magnetic moment in μB per formula unit: 0.0
Formation enthalpy at 0 K in eV per atom: 0.059
Fermi-level density of states in states/eV/f.u.: 3.71
Energy relative to the lowest polymorph listed for this composition in meV per atom: 131
SG: No. 65
Calculated volume in Å³/cell: 258.2

(12)
Entry from Alexandria via LeMat-Bulk: a relaxed structure of NaMg2Pb (GGA-PBE).

abc: 4.0446 4.0446 6.4952
angles: 90.00 90.00 90.00
Positions (direct):
Mg1 0.0000 0.0000 0.7592
Mg2 0.0000 0.0000 0.2408
Pb1 0.5000 0.5000 0.0000
Na1 0.5000 0.5000 0.5000

Calculated values
Total magnetic moment in μB per formula unit: 0.0
Formation enthalpy at 0 K in eV per atom: 0.010
Fermi-level density of states in states/eV/f.u.: 2.18
SG: No. 123
Calculated volume in Å³/cell: 106.3

Question: Among the records above, which one has the lowest Fermi-level density of states?
Answer: NaMgSnP2

Question: Which of these has the lowest Fermi-level density of states?
Answer: NaMgSnP2

Question: The lowest calculated volume belongs to which entry?
Answer: NaMg2Pb